1.
## AgRhSe2 (PBE)

Data for a relaxed structure of AgRhSe2.

Values from the calculation:
E_form (uncorrected) = -0.1383 eV per atom

Lattice parameters (Å, degrees): 7.859 3.695 12.043 90.00 90.00 90.00
Space group Pnma (No. 62)
Unique sites:
Ag1 0.022 0.250 0.097 x4
Rh1 0.036 0.750 0.375 x4
Se1 0.152 0.750 0.564 x4
Se2 0.224 0.250 0.315 x4

2.
## YZn2Cu8 (PBE)

Data for a relaxed structure of YZn2Cu8.

Values from the calculation:
ΔH_f (0 K) = 0.2695 eV/atom

Lattice parameters (Å, degrees): 4.803 4.803 8.516 90.00 90.00 90.00
Space group P4/mmm (No. 123)
Unique sites:
Y1 0.000 0.000 0.000 x1
Zn1 0.000 0.500 0.500 x2
Cu1 0.252 0.252 0.275 x8

3.
## BeGaSCl2 (PBE)

Data for a relaxed structure of BeGaSCl2.

Values from the calculation:
E_form (uncorrected) = -0.3872 eV per atom
Energy above the lowest structure with this stoichiometry = 0.0 meV/atom

Lattice parameters (Å, degrees): 4.315 4.315 5.023 90.00 90.00 90.00
Space group P4/mmm (No. 123)
Unique sites:
Be1 0.000 0.000 0.000 x1
Ga1 0.500 0.500 0.500 x1
S1 0.000 0.000 0.500 x1
Cl1 0.000 0.500 0.000 x2

4.
## NdSmZn4 (PBE)

Data for a relaxed structure of NdSmZn4.

Values from the calculation:
ΔH_f (0 K) = -0.3491 eV/atom
Energy above the lowest structure with this stoichiometry = 0.0 meV/atom

Lattice parameters (Å, degrees): 4.564 7.194 7.901 90.00 90.00 90.00
Space group Immm (No. 71)
Unique sites:
Nd1 0.000 0.000 0.000 x2
Sm1 0.000 0.500 0.000 x2
Zn1 0.000 0.248 0.333 x8

5.
## Rb2ErF4 (PBE)

Data for a relaxed structure of Rb2ErF4.

Values from the calculation:
E_form (uncorrected) = -3.1338 eV per atom

Lattice parameters (Å, degrees): 4.338 4.338 21.299 90.00 90.00 90.00
Space group I4/mmm (No. 139)
Unique sites:
Rb1 0.000 0.000 0.151 x4
Er1 0.000 0.000 0.500 x2
F1 0.000 0.000 0.400 x4
F2 0.000 0.500 0.000 x4

6.
## BaLiMoC2 (PBE)

Data for a relaxed structure of BaLiMoC2.

Values from the calculation:
ΔH_f (0 K) = 1.5178 eV/atom

Lattice parameters (Å, degrees): 4.237 4.237 5.532 90.00 90.00 90.00
Space group P4/mmm (No. 123)
Unique sites:
Ba1 0.000 0.000 0.000 x1
Li1 0.500 0.500 0.000 x1
Mo1 0.000 0.000 0.500 x1
C1 0.000 0.500 0.500 x2

7.
## CrHIr2 (PBE)

Data for a relaxed structure of CrHIr2.

Values from the calculation:
Energy above the lowest structure with this stoichiometry = 0.0 meV/atom

Lattice parameters (Å, degrees): 6.028 6.028 4.974 90.00 90.00 90.00
Space group I-42d (No. 122)
Unique sites:
Cr1 0.000 0.000 0.000 x4
H1 0.000 0.000 0.500 x4
Ir1 0.158 0.250 0.625 x8

8.
## NaSr2Rh (PBE)

Data for a relaxed structure of NaSr2Rh.

Values from the calculation:
ΔH_f (0 K) = -0.0686 eV/atom
Energy above the lowest structure with this stoichiometry = 80.0 meV/atom

Lattice parameters (Å, degrees): 4.3736 4.3736 28.1088 90.00 90.00 120.00
Space group R3m (No. 160, hexagonal axes)
Unique sites:
Na1 0.0000 0.0000 0.0000 x3
Sr1 0.0000 0.0000 0.2234 x3
Sr2 0.0000 0.0000 0.4470 x3
Rh1 0.0000 0.0000 0.8358 x3

What are the total magnetic moment values for these records? In order: 0.000, 0.000, 0.000, 0.001, 0.000, 0.000, 0.001, 0.000 μB/cell.
What are the DOS(E_F) values for these records? In order: 0.0, 3.9, 1.4, 12.4, 2.0, 4.4, 12.8, 5.4 states/eV per cell.